[1]
Computed, not measured: an optimized crystal structure of KSm2PuSe4 at the PBE level of DFT.

```
KSm2PuSe4
1.0
7.395 0.000 0.000
0.000 4.211 0.000
-2.406 0.000 7.043
K Sm Pu Se
1 2 1 4
Direct
0.000 0.000 0.000 K
0.000 0.500 0.500 Sm
0.500 0.000 0.500 Sm
0.500 0.500 0.000 Pu
0.256 0.000 0.744 Se
0.264 0.500 0.267 Se
0.736 0.500 0.733 Se
0.744 0.000 0.256 Se
```

Its total DFT energy (no corrections) is -6.512 eV/atom.

---

[2]
Computed, not measured: an optimized crystal structure of LaAsAu3 at the PBE level of DFT.

```
LaAsAu3
1.0
5.732 0.000 0.000
0.000 5.732 0.000
0.000 0.000 5.732
La As Au
1 1 3
Direct
0.000 0.000 0.000 La
0.500 0.500 0.500 As
0.000 0.000 0.500 Au
0.000 0.500 0.000 Au
0.500 0.000 0.000 Au
```

The energy of formation from the pure elements is 348 kJ/mol of formula units. Its total DFT energy (no corrections) is -3.160 eV/atom. Its excess energy over the best structure of this formula in the dataset is 0.941 eV/atom.

---

[3]
Computed, not measured: an optimized crystal structure of NaZrRu2W at the PBE level of DFT.

```
NaZrRu2W
1.0
4.654 0.000 0.000
0.000 4.654 0.000
0.000 0.000 4.909
Na Zr Ru W
1 1 2 1
Direct
0.000 0.000 0.000 Na
0.500 0.500 0.000 Zr
0.000 0.500 0.500 Ru
0.500 0.000 0.500 Ru
0.000 0.000 0.500 W
```

The energy of formation from the pure elements is 651 kJ/mol of formula units. Its total DFT energy (no corrections) is -6.925 eV/atom.